Entry 1:
The following is a DFT calculation (GGA-PBE) of an optimized crystal structure of SrVIr2.

Properties
Calculated volume: 18.021 A^3/atom
Energy relative to the lowest polymorph listed for this composition: 147 meV per atom
Density of states at the Fermi level: 5.49 states/eV/cell
ρ: 12.05 g cm⁻³

CIF file:
```
data_SrVIr2
_symmetry_space_group_name_H-M 'P 1'
_symmetry_Int_Tables_number 1
_symmetry_space_group_name_Hall 'P 1'
_cell_length_a 4.671
_cell_length_b 4.671
_cell_length_c 4.671
_cell_angle_alpha 60.00
_cell_angle_beta 60.00
_cell_angle_gamma 60.00
loop_
_atom_site_label
_atom_site_type_symbol
_atom_site_fract_x
_atom_site_fract_y
_atom_site_fract_z
Sr1 Sr 0.500 0.500 0.500
Ir1 Ir 0.750 0.750 0.750
Ir2 Ir 0.250 0.250 0.250
V1 V 0.000 0.000 0.000
```

=====

Entry 2:
The following is a DFT calculation (GGA-PBE) of an optimized crystal structure of SrVIr3.

Properties
Calculated volume: 23.564 A^3/atom
Energy relative to the lowest polymorph listed for this composition: 2335 meV per atom
Density of states at the Fermi level: 9.24 states/eV/cell
ρ: 10.08 g cm⁻³

CIF file:
```
data_SrVIr3
_symmetry_space_group_name_H-M 'P 1'
_symmetry_Int_Tables_number 1
_symmetry_space_group_name_Hall 'P 1'
_cell_length_a 4.902
_cell_length_b 4.902
_cell_length_c 4.902
_cell_angle_alpha 90.00
_cell_angle_beta 90.00
_cell_angle_gamma 90.00
loop_
_atom_site_label
_atom_site_type_symbol
_atom_site_fract_x
_atom_site_fract_y
_atom_site_fract_z
V1 V 0.500 0.500 0.500
Sr1 Sr 0.000 0.000 0.000
Ir1 Ir 0.000 0.000 0.500
Ir2 Ir 0.000 0.500 0.000
Ir3 Ir 0.500 0.000 0.000
```